# 1
A plane-wave DFT calculation with GGA-PBE was carried out for crystalline Tl17Cd11Au at its relaxed geometry.

a = 11.7057 Å, b = 16.5796 Å, c = 10.1204 Å
α = 90.00°, β = 125.23°, γ = 90.00°
With the nearest neighbours (Å) after each atom.
Space group Cm (No. 8)
Symmetry-distinct sites (fractional):
1 Tl 0.0000 0.0000 0.0000 x2  11 Cd 3.47-3.58, 1 Au 3.48, 4 Tl 3.59-3.63
2 Tl 0.0001 0.0000 0.3586 x2  4 Tl 3.36-3.63, 6 Cd 3.48-3.50
3 Tl 0.0569 0.3410 0.4022 x4  5 Cd 3.22-3.60, 7 Tl 3.36-3.52
4 Tl 0.1415 0.5000 0.6492 x2  4 Tl 3.36-3.61, 6 Cd 3.47-3.56
5 Tl 0.1589 0.1573 0.6116 x4  4 Cd 3.22-3.61, 1 Au 3.27, 7 Tl 3.36-3.54
6 Tl 0.1774 0.1772 0.0013 x4  4 Tl 3.34-3.59, 5 Cd 3.42-3.51, 1 Au 3.48
7 Tl 0.1831 0.5000 0.2944 x2  5 Cd 3.24-3.56, 7 Tl 3.38-3.52
8 Tl 0.3012 0.3015 0.3236 x4  5 Cd 3.24-3.54, 7 Tl 3.40-3.53
9 Tl 0.3868 0.0000 0.7202 x2  1 Au 3.13, 2 Cd 3.39, 5 Tl 3.40-3.45
10 Tl 0.4594 0.1399 0.0048 x4  4 Cd 3.21-3.42, 7 Tl 3.34-3.53, 1 Au 3.56
11 Tl 0.4804 0.1972 0.6843 x4  5 Cd 3.22-3.56, 7 Tl 3.38-3.54
12 Cd 0.0029 0.1824 0.1899 x4  3 Cd 2.99-3.08, 2 Tl 3.22-3.34
13 Cd 0.2234 0.4104 0.0037 x4  3 Cd 2.97-3.08, 1 Tl 3.21
14 Cd 0.2727 0.0916 0.3649 x4  3 Cd 2.99-3.11, 2 Tl 3.22-3.32
15 Cd 0.3174 0.3175 0.8178 x4  3 Cd 2.98-3.08, 1 Tl 3.22
16 Cd 0.3568 0.0000 0.1644 x2  1 Au 2.87, 2 Cd 3.11
17 Cd 0.4143 0.4083 0.6451 x4  1 Au 2.94, 2 Cd 2.98-3.04, 2 Tl 3.24-3.26
18 Au 0.1770 0.0000 0.8174 x2  3 Cd 2.87-2.94, 1 Tl 3.13

Results
Total magnetization = 0.00 μB/f.u.
Formation energy = 0.42 eV per formula unit



# 2
A plane-wave DFT calculation with GGA-PBE was carried out for crystalline TlCdAu2 at its relaxed geometry.

a = 3.4078 Å, b = 3.4078 Å, c = 7.6758 Å
α = 90.00°, β = 90.00°, γ = 90.00°
With the nearest neighbours (Å) after each atom.
Space group P4mm (No. 99)
Symmetry-distinct sites (fractional):
1 Tl 0.0000 0.0000 0.0000 x1  4 Au 3.13, 4 Tl 3.41, 4 Cd 3.45
2 Cd 0.5000 0.5000 0.6790 x1  5 Au 2.89-3.22
3 Au 0.0000 0.0000 0.4708 x1  4 Cd 2.89, 4 Au 2.90
4 Au 0.5000 0.5000 0.2600 x1  4 Au 2.90, 4 Tl 3.13, 1 Cd 3.22

Results
Total magnetization = 0.00 μB/f.u.
Formation energy = 0.00 eV per formula unit



# 3
A plane-wave DFT calculation with GGA-PBE was carried out for crystalline TlCd3Au at its relaxed geometry.

a = 5.3200 Å, b = 5.3200 Å, c = 5.3200 Å
α = 90.00°, β = 90.00°, γ = 90.00°
With the nearest neighbours (Å) after each atom.
Space group Pm-3m (No. 221)
Symmetry-distinct sites (fractional):
1 Tl 0.0000 0.0000 0.0000 x1  12 Cd 3.76
2 Cd 0.0000 0.5000 0.5000 x3  2 Au 2.66
3 Au 0.5000 0.5000 0.5000 x1  6 Cd 2.66

Results
Total magnetization = 0.00 μB/f.u.
Distance to the lowest polymorph of the same formula = 70 meV/atom
Formation energy = 0.16 eV per formula unit



Number 1: uncorrected energy -106.3 eV for the cell shown, DOS(E_F) 0.271 states/eV per atom. Number 2: uncorrected energy -9.8 eV for the cell shown, DOS(E_F) 0.287 states/eV per atom. Number 3: uncorrected energy -8.2 eV for the cell shown, DOS(E_F) 0.335 states/eV per atom.